# 1
! CuRe2Rh, relaxed, DFT PBE-GGA; values from VASP
! Energy relative to the elements (eV/atom): 0.177
! VASP energy (Ha/atom): -0.327
! E above lowest polymorph (eV/atom): 0.0861
&SYSTEM
  ibrav = 0, nat = 4, ntyp = 3
/
ATOMIC_SPECIES
Cu 63.55 Cu.upf
Re 186.21 Re.upf
Rh 102.91 Rh.upf
ATOMIC_POSITIONS crystal
Cu 0.000 0.000 0.000
Re 0.250 0.750 0.500
Re 0.750 0.250 0.500
Rh 0.500 0.500 0.000
CELL_PARAMETERS angstrom
-1.854 1.854 4.103
1.854 -1.854 4.103
1.854 1.854 -4.103



# 2
! CuReRh6, relaxed, DFT PBE-GGA; values from VASP
! Energy relative to the elements (eV/atom): -0.047
! VASP energy (Ha/atom): -0.280
&SYSTEM
  ibrav = 0, nat = 8, ntyp = 3
/
ATOMIC_SPECIES
Cu 63.55 Cu.upf
Re 186.21 Re.upf
Rh 102.91 Rh.upf
ATOMIC_POSITIONS crystal
Cu 0.000 0.000 0.000
Re 0.000 0.000 0.500
Rh 0.000 0.500 0.254
Rh 0.000 0.500 0.746
Rh 0.500 0.000 0.254
Rh 0.500 0.000 0.746
Rh 0.500 0.500 0.000
Rh 0.500 0.500 0.500
CELL_PARAMETERS angstrom
3.834 0.000 0.000
0.000 3.834 0.000
0.000 0.000 7.671



# 3
! CuRe2Rh, relaxed, DFT PBE-GGA; values from VASP
! Energy relative to the elements (eV/atom): 0.224
! VASP energy (Ha/atom): -0.326
! E above lowest polymorph (eV/atom): 0.1336
&SYSTEM
  ibrav = 0, nat = 4, ntyp = 3
/
ATOMIC_SPECIES
Cu 63.55 Cu.upf
Re 186.21 Re.upf
Rh 102.91 Rh.upf
ATOMIC_POSITIONS crystal
Cu 0.000 0.000 0.000
Re 0.000 0.500 0.500
Re 0.500 0.000 0.500
Rh 0.500 0.500 0.000
CELL_PARAMETERS angstrom
3.738 0.000 0.000
0.000 3.738 0.000
0.000 0.000 4.036



# 4
! CuRe2Rh, relaxed, DFT PBE-GGA; values from VASP
! Energy relative to the elements (eV/atom): 0.450
! VASP energy (Ha/atom): -0.317
! E above lowest polymorph (eV/atom): 0.3593
&SYSTEM
  ibrav = 0, nat = 4, ntyp = 3
/
ATOMIC_SPECIES
Cu 63.55 Cu.upf
Re 186.21 Re.upf
Rh 102.91 Rh.upf
ATOMIC_POSITIONS crystal
Cu 0.000 0.000 0.000
Re 0.000 0.500 0.500
Re 0.500 0.000 0.500
Rh 0.500 0.500 0.000
CELL_PARAMETERS angstrom
4.616 0.000 0.000
0.000 4.616 0.000
0.000 0.000 2.680



# 5
! CuRe2Rh, relaxed, DFT PBE-GGA; values from VASP
! Energy relative to the elements (eV/atom): 0.151
! VASP energy (Ha/atom): -0.328
! E above lowest polymorph (eV/atom): 0.0611
&SYSTEM
  ibrav = 0, nat = 4, ntyp = 3
/
ATOMIC_SPECIES
Cu 63.55 Cu.upf
Re 186.21 Re.upf
Rh 102.91 Rh.upf
ATOMIC_POSITIONS crystal
Cu 0.000 0.000 0.000
Re 0.498 0.500 0.234
Re 0.502 0.500 0.766
Rh 0.000 0.000 0.500
CELL_PARAMETERS angstrom
2.699 0.000 0.000
0.000 3.972 0.000
-0.004 0.000 5.261



# 6
! Cu2ReRh, relaxed, DFT PBE-GGA; values from VASP
! Energy relative to the elements (eV/atom): 0.822
! VASP energy (Ha/atom): -0.227
&SYSTEM
  ibrav = 0, nat = 8, ntyp = 3
/
ATOMIC_SPECIES
Cu 63.55 Cu.upf
Re 186.21 Re.upf
Rh 102.91 Rh.upf
ATOMIC_POSITIONS crystal
Cu 0.123 0.625 0.998
Cu 0.375 0.373 0.498
Cu 0.627 0.125 0.002
Cu 0.875 0.877 0.502
Re 0.000 0.000 0.000
Re 0.750 0.250 0.500
Rh 0.250 0.750 0.500
Rh 0.500 0.500 0.000
CELL_PARAMETERS angstrom
-3.395 3.395 2.523
3.395 -3.395 2.523
3.395 3.395 -2.523



# 7
! CuRe2Rh6, relaxed, DFT PBE-GGA; values from VASP
! Energy relative to the elements (eV/atom): 0.137
! VASP energy (Ha/atom): -0.293
&SYSTEM
  ibrav = 0, nat = 9, ntyp = 3
/
ATOMIC_SPECIES
Cu 63.55 Cu.upf
Re 186.21 Re.upf
Rh 102.91 Rh.upf
ATOMIC_POSITIONS crystal
Cu 0.000 0.000 0.000
Re 0.359 0.859 0.500
Re 0.641 0.141 0.500
Rh 0.004 0.322 0.682
Rh 0.318 0.500 0.818
Rh 0.360 0.678 0.682
Rh 0.640 0.322 0.318
Rh 0.682 0.500 0.182
Rh 0.996 0.678 0.318
CELL_PARAMETERS angstrom
-1.362 3.568 6.856
1.362 -3.568 6.856
1.362 3.568 -6.856



# 8
! Cu2ReRh, relaxed, DFT PBE-GGA; values from VASP
! Energy relative to the elements (eV/atom): 0.092
! VASP energy (Ha/atom): -0.254
&SYSTEM
  ibrav = 0, nat = 4, ntyp = 3
/
ATOMIC_SPECIES
Cu 63.55 Cu.upf
Re 186.21 Re.upf
Rh 102.91 Rh.upf
ATOMIC_POSITIONS crystal
Cu 0.000 0.000 0.000
Cu 0.255 0.255 0.255
Re 0.753 0.753 0.753
Rh 0.503 0.503 0.503
CELL_PARAMETERS angstrom
1.362 0.787 8.485
-1.362 0.787 8.485
0.000 -1.573 8.485



# 9
! Cu2ReRh, relaxed, DFT PBE-GGA; values from VASP
! Energy relative to the elements (eV/atom): 0.274
! VASP energy (Ha/atom): -0.247
&SYSTEM
  ibrav = 0, nat = 4, ntyp = 3
/
ATOMIC_SPECIES
Cu 63.55 Cu.upf
Re 186.21 Re.upf
Rh 102.91 Rh.upf
ATOMIC_POSITIONS crystal
Cu 0.000 0.000 0.000
Cu 0.250 0.250 0.250
Re 0.750 0.750 0.750
Rh 0.500 0.500 0.500
CELL_PARAMETERS angstrom
0.000 3.000 3.000
3.000 0.000 3.000
3.000 3.000 0.000



# 10
! CuRe2Rh, relaxed, DFT PBE-GGA; values from VASP
! Energy relative to the elements (eV/atom): 0.148
! VASP energy (Ha/atom): -0.328
! E above lowest polymorph (eV/atom): 0.0576
&SYSTEM
  ibrav = 0, nat = 4, ntyp = 3
/
ATOMIC_SPECIES
Cu 63.55 Cu.upf
Re 186.21 Re.upf
Rh 102.91 Rh.upf
ATOMIC_POSITIONS crystal
Cu 0.000 0.000 0.000
Re 0.245 0.245 0.749
Re 0.755 0.755 0.251
Rh 0.500 0.500 0.500
CELL_PARAMETERS angstrom
4.577 -1.364 0.000
4.577 1.364 0.000
-0.794 0.000 4.558



# 11
! CuReRh2, relaxed, DFT PBE-GGA; values from VASP
! Energy relative to the elements (eV/atom): 0.345
! VASP energy (Ha/atom): -0.274
&SYSTEM
  ibrav = 0, nat = 4, ntyp = 3
/
ATOMIC_SPECIES
Cu 63.55 Cu.upf
Re 186.21 Re.upf
Rh 102.91 Rh.upf
ATOMIC_POSITIONS crystal
Cu 0.000 0.000 0.000
Re 0.250 0.250 0.250
Rh 0.500 0.500 0.500
Rh 0.750 0.750 0.750
CELL_PARAMETERS angstrom
0.000 3.040 3.040
3.040 0.000 3.040
3.040 3.040 0.000



# 12
! CuReRh2, relaxed, DFT PBE-GGA; values from VASP
! Energy relative to the elements (eV/atom): 0.075
! VASP energy (Ha/atom): -0.284
&SYSTEM
  ibrav = 0, nat = 4, ntyp = 3
/
ATOMIC_SPECIES
Cu 63.55 Cu.upf
Re 186.21 Re.upf
Rh 102.91 Rh.upf
ATOMIC_POSITIONS crystal
Cu 0.000 0.000 0.000
Re 0.500 0.500 0.000
Rh 0.000 0.500 0.500
Rh 0.500 0.000 0.500
CELL_PARAMETERS angstrom
2.744 -3.734 0.000
2.744 3.734 0.000
0.000 0.000 2.728



# 13
! CuRe2Rh, relaxed, DFT PBE-GGA; values from VASP
! Energy relative to the elements (eV/atom): 0.235
! VASP energy (Ha/atom): -0.325
! E above lowest polymorph (eV/atom): 0.1443
&SYSTEM
  ibrav = 0, nat = 4, ntyp = 3
/
ATOMIC_SPECIES
Cu 63.55 Cu.upf
Re 186.21 Re.upf
Rh 102.91 Rh.upf
ATOMIC_POSITIONS crystal
Cu 0.000 0.000 0.000
Re 0.500 0.500 0.500
Re 0.750 0.750 0.750
Rh 0.250 0.250 0.250
CELL_PARAMETERS angstrom
0.000 3.059 3.059
3.059 0.000 3.059
3.059 3.059 0.000



# 14
! CuRe2Rh, relaxed, DFT PBE-GGA; values from VASP
! Energy relative to the elements (eV/atom): 0.131
! VASP energy (Ha/atom): -0.329
! E above lowest polymorph (eV/atom): 0.0402
&SYSTEM
  ibrav = 0, nat = 4, ntyp = 3
/
ATOMIC_SPECIES
Cu 63.55 Cu.upf
Re 186.21 Re.upf
Rh 102.91 Rh.upf
ATOMIC_POSITIONS crystal
Cu 0.000 0.000 0.000
Re 0.249 0.249 0.742
Re 0.494 0.494 0.500
Rh 0.755 0.755 0.233
CELL_PARAMETERS angstrom
4.506 -1.331 0.000
4.506 1.331 0.000
-0.713 0.000 4.731



# 15
! CuReRh2, relaxed, DFT PBE-GGA; values from VASP
! Energy relative to the elements (eV/atom): 0.312
! VASP energy (Ha/atom): -0.276
&SYSTEM
  ibrav = 0, nat = 4, ntyp = 3
/
ATOMIC_SPECIES
Cu 63.55 Cu.upf
Re 186.21 Re.upf
Rh 102.91 Rh.upf
ATOMIC_POSITIONS crystal
Cu 0.000 0.000 0.000
Re 0.500 0.000 0.500
Rh 0.000 0.500 0.500
Rh 0.500 0.500 0.000
CELL_PARAMETERS angstrom
2.728 0.000 0.000
0.000 4.504 0.000
0.000 0.000 4.602



# 16
! CuReRh2, relaxed, DFT PBE-GGA; values from VASP
! Energy relative to the elements (eV/atom): 0.414
! VASP energy (Ha/atom): -0.272
&SYSTEM
  ibrav = 0, nat = 4, ntyp = 3
/
ATOMIC_SPECIES
Cu 63.55 Cu.upf
Re 186.21 Re.upf
Rh 102.91 Rh.upf
ATOMIC_POSITIONS crystal
Cu 0.000 0.000 0.000
Re 0.206 0.206 0.206
Rh 0.415 0.415 0.415
Rh 0.619 0.619 0.619
CELL_PARAMETERS angstrom
2.051 1.184 4.199
-2.051 1.184 4.199
0.000 -2.368 4.199



# 17
! Cu2ReRh, relaxed, DFT PBE-GGA; values from VASP
! Energy relative to the elements (eV/atom): 0.372
! VASP energy (Ha/atom): -0.244
&SYSTEM
  ibrav = 0, nat = 4, ntyp = 3
/
ATOMIC_SPECIES
Cu 63.55 Cu.upf
Re 186.21 Re.upf
Rh 102.91 Rh.upf
ATOMIC_POSITIONS crystal
Cu 0.250 0.750 0.500
Cu 0.750 0.250 0.500
Re 0.000 0.000 0.000
Rh 0.500 0.500 0.000
CELL_PARAMETERS angstrom
-1.881 1.881 3.794
1.881 -1.881 3.794
1.881 1.881 -3.794



# 18
! Cu2ReRh, relaxed, DFT PBE-GGA; values from VASP
! Energy relative to the elements (eV/atom): 0.224
! VASP energy (Ha/atom): -0.249
&SYSTEM
  ibrav = 0, nat = 4, ntyp = 3
/
ATOMIC_SPECIES
Cu 63.55 Cu.upf
Re 186.21 Re.upf
Rh 102.91 Rh.upf
ATOMIC_POSITIONS crystal
Cu 0.000 0.000 0.000
Cu 0.750 0.250 0.500
Re 0.250 0.750 0.500
Rh 0.500 0.500 0.000
CELL_PARAMETERS angstrom
-1.897 1.897 3.697
1.897 -1.897 3.697
1.897 1.897 -3.697



# 19
! CuRe2Rh, relaxed, DFT PBE-GGA; values from VASP
! Energy relative to the elements (eV/atom): 0.175
! VASP energy (Ha/atom): -0.327
! E above lowest polymorph (eV/atom): 0.0843
&SYSTEM
  ibrav = 0, nat = 4, ntyp = 3
/
ATOMIC_SPECIES
Cu 63.55 Cu.upf
Re 186.21 Re.upf
Rh 102.91 Rh.upf
ATOMIC_POSITIONS crystal
Cu 0.000 0.000 0.000
Re 0.000 0.000 0.488
Re 0.500 0.500 0.243
Rh 0.500 0.500 0.774
CELL_PARAMETERS angstrom
3.116 0.000 0.000
0.000 3.116 0.000
0.000 0.000 5.844



# 20
! CuReRh2, relaxed, DFT PBE-GGA; values from VASP
! Energy relative to the elements (eV/atom): -0.046
! VASP energy (Ha/atom): -0.289
&SYSTEM
  ibrav = 0, nat = 4, ntyp = 3
/
ATOMIC_SPECIES
Cu 63.55 Cu.upf
Re 186.21 Re.upf
Rh 102.91 Rh.upf
ATOMIC_POSITIONS crystal
Cu 0.000 0.000 0.000
Re 0.000 0.000 0.500
Rh 0.500 0.500 0.250
Rh 0.500 0.500 0.750
CELL_PARAMETERS angstrom
2.733 0.000 0.000
0.000 3.761 0.000
0.000 0.000 5.398



# 21
! CuRe2Rh, relaxed, DFT PBE-GGA; values from VASP
! Energy relative to the elements (eV/atom): 0.258
! VASP energy (Ha/atom): -0.324
! E above lowest polymorph (eV/atom): 0.1674
&SYSTEM
  ibrav = 0, nat = 4, ntyp = 3
/
ATOMIC_SPECIES
Cu 63.55 Cu.upf
Re 186.21 Re.upf
Rh 102.91 Rh.upf
ATOMIC_POSITIONS crystal
Cu 0.000 0.000 0.000
Re 0.000 0.000 0.501
Re 0.500 0.500 0.249
Rh 0.500 0.500 0.755
CELL_PARAMETERS angstrom
1.426 -2.265 0.000
1.426 2.265 0.000
0.000 0.000 8.987



# 22
! CuRe2Rh, relaxed, DFT PBE-GGA; values from VASP
! Energy relative to the elements (eV/atom): 0.148
! VASP energy (Ha/atom): -0.328
! E above lowest polymorph (eV/atom): 0.0573
&SYSTEM
  ibrav = 0, nat = 4, ntyp = 3
/
ATOMIC_SPECIES
Cu 63.55 Cu.upf
Re 186.21 Re.upf
Rh 102.91 Rh.upf
ATOMIC_POSITIONS crystal
Cu 0.000 0.000 0.000
Re 0.500 0.500 0.000
Re 0.750 0.250 0.500
Rh 0.250 0.750 0.500
CELL_PARAMETERS angstrom
-1.942 1.942 3.743
1.942 -1.942 3.743
1.942 1.942 -3.743



# 23
! CuReRh, relaxed, DFT PBE-GGA; values from VASP
! Energy relative to the elements (eV/atom): 0.074
! VASP energy (Ha/atom): -0.290
! E above lowest polymorph (eV/atom): 0.0053
&SYSTEM
  ibrav = 0, nat = 3, ntyp = 3
/
ATOMIC_SPECIES
Cu 63.55 Cu.upf
Re 186.21 Re.upf
Rh 102.91 Rh.upf
ATOMIC_POSITIONS crystal
Cu 0.000 0.000 0.000
Re 0.667 0.667 0.000
Rh 0.329 0.329 0.000
CELL_PARAMETERS angstrom
-1.359 1.901 3.980
1.359 -1.901 3.980
1.359 1.901 -3.980



# 24
! CuRe2Rh, relaxed, DFT PBE-GGA; values from VASP
! Energy relative to the elements (eV/atom): 0.163
! VASP energy (Ha/atom): -0.328
! E above lowest polymorph (eV/atom): 0.0727
&SYSTEM
  ibrav = 0, nat = 4, ntyp = 3
/
ATOMIC_SPECIES
Cu 63.55 Cu.upf
Re 186.21 Re.upf
Rh 102.91 Rh.upf
ATOMIC_POSITIONS crystal
Cu 0.000 0.000 0.000
Re 0.250 0.250 0.250
Re 0.750 0.750 0.750
Rh 0.500 0.500 0.500
CELL_PARAMETERS angstrom
1.362 0.786 8.869
-1.362 0.786 8.869
0.000 -1.572 8.869



# 25
! CuReRh2, relaxed, DFT PBE-GGA; values from VASP
! Energy relative to the elements (eV/atom): 0.098
! VASP energy (Ha/atom): -0.283
&SYSTEM
  ibrav = 0, nat = 4, ntyp = 3
/
ATOMIC_SPECIES
Cu 63.55 Cu.upf
Re 186.21 Re.upf
Rh 102.91 Rh.upf
ATOMIC_POSITIONS crystal
Cu 0.000 0.000 0.000
Re 0.500 0.500 0.248
Rh 0.000 0.000 0.498
Rh 0.500 0.500 0.762
CELL_PARAMETERS angstrom
2.712 0.000 0.000
0.000 2.712 0.000
0.000 0.000 7.553



# 26
! CuReRh, relaxed, DFT PBE-GGA; values from VASP
! Energy relative to the elements (eV/atom): 0.610
! VASP energy (Ha/atom): -0.270
! E above lowest polymorph (eV/atom): 0.5406
&SYSTEM
  ibrav = 0, nat = 3, ntyp = 3
/
ATOMIC_SPECIES
Cu 63.55 Cu.upf
Re 186.21 Re.upf
Rh 102.91 Rh.upf
ATOMIC_POSITIONS crystal
Cu 0.000 0.000 0.000
Re 0.500 0.500 0.500
Rh 0.750 0.750 0.750
CELL_PARAMETERS angstrom
0.000 2.900 2.900
2.900 0.000 2.900
2.900 2.900 0.000



# 27
! CuReRh2, relaxed, DFT PBE-GGA; values from VASP
! Energy relative to the elements (eV/atom): 0.181
! VASP energy (Ha/atom): -0.280
&SYSTEM
  ibrav = 0, nat = 4, ntyp = 3
/
ATOMIC_SPECIES
Cu 63.55 Cu.upf
Re 186.21 Re.upf
Rh 102.91 Rh.upf
ATOMIC_POSITIONS crystal
Cu 0.000 0.000 0.000
Re 0.000 0.000 0.500
Rh 0.500 0.500 0.248
Rh 0.500 0.500 0.752
CELL_PARAMETERS angstrom
1.397 -2.291 0.000
1.397 2.291 0.000
0.000 0.000 8.949



# 28
! CuRe2Rh, relaxed, DFT PBE-GGA; values from VASP
! Energy relative to the elements (eV/atom): 0.097
! VASP energy (Ha/atom): -0.330
! E above lowest polymorph (eV/atom): 0.0063
&SYSTEM
  ibrav = 0, nat = 4, ntyp = 3
/
ATOMIC_SPECIES
Cu 63.55 Cu.upf
Re 186.21 Re.upf
Rh 102.91 Rh.upf
ATOMIC_POSITIONS crystal
Cu 0.000 0.000 0.000
Re 0.249 0.249 0.249
Re 0.499 0.499 0.499
Rh 0.749 0.749 0.749
CELL_PARAMETERS angstrom
1.376 0.794 8.751
-1.376 0.794 8.751
0.000 -1.589 8.751



# 29
! Cu2ReRh2, relaxed, DFT PBE-GGA; values from VASP
! Energy relative to the elements (eV/atom): 0.330
! VASP energy (Ha/atom): -0.248
&SYSTEM
  ibrav = 0, nat = 10, ntyp = 3
/
ATOMIC_SPECIES
Cu 63.55 Cu.upf
Re 186.21 Re.upf
Rh 102.91 Rh.upf
ATOMIC_POSITIONS crystal
Cu 0.124 0.376 0.000
Cu 0.376 0.876 0.000
Cu 0.624 0.124 0.000
Cu 0.876 0.624 0.000
Re 0.000 0.000 0.000
Re 0.500 0.500 0.000
Rh 0.175 0.675 0.500
Rh 0.325 0.175 0.500
Rh 0.675 0.825 0.500
Rh 0.825 0.325 0.500
CELL_PARAMETERS angstrom
6.906 0.000 0.000
0.000 6.906 0.000
0.000 0.000 2.843



# 30
! CuReRh2, relaxed, DFT PBE-GGA; values from VASP
! Energy relative to the elements (eV/atom): 0.252
! VASP energy (Ha/atom): -0.278
&SYSTEM
  ibrav = 0, nat = 4, ntyp = 3
/
ATOMIC_SPECIES
Cu 63.55 Cu.upf
Re 186.21 Re.upf
Rh 102.91 Rh.upf
ATOMIC_POSITIONS crystal
Cu 0.000 0.000 0.000
Re 0.500 0.500 0.751
Rh 0.000 0.000 0.502
Rh 0.500 0.500 0.243
CELL_PARAMETERS angstrom
1.384 -2.277 0.000
1.384 2.277 0.000
0.000 0.000 9.082